1.
This record from Alexandria describes a geometry-optimized NbSiH2 structure. The functional is PBE-GGA.

POSCAR file:
```
NbSiH2
1.0
0.000 2.657 2.657
2.657 0.000 2.657
2.657 2.657 0.000
H Si Nb
2 1 1
Direct
0.250 0.250 0.250
0.750 0.750 0.750
0.000 0.000 0.000
0.500 0.500 0.500
```

Summary:
**Theoretical density**: 5.45 g/cm3
**ΔE to the lowest computed polymorph**: 0.71 eV per formula unit
**SG**: No. 225

---

2.
This record from Alexandria describes a geometry-optimized NbInSe2Br structure. The functional is PBE-GGA.

POSCAR file:
```
NbInSe2Br
1.0
5.084 0.000 0.000
0.000 5.084 0.000
0.000 0.000 5.379
Nb Br In Se
1 1 1 2
Direct
0.000 0.000 0.000
0.000 0.000 0.500
0.500 0.500 0.500
0.500 0.000 0.000
0.000 0.500 0.000
```

Summary:
**Theoretical density**: 5.32 g/cm3
**ΔE to the lowest computed polymorph**: 0.00 eV per formula unit
**SG**: No. 123
**Formation energy from raw total energies**: -0.4161 eV per atom

---

3.
This record from Alexandria describes a geometry-optimized Cu3Ru structure. The functional is PBE-GGA.

POSCAR file:
```
Cu3Ru
1.0
4.641 -0.015 0.000
-1.612 4.352 0.000
0.000 0.000 2.504
Ru Cu
1 3
Direct
0.500 0.500 0.000
0.500 0.000 0.500
0.000 0.000 0.000
0.000 0.500 0.500
```

Summary:
**Theoretical density**: 9.59 g/cm3
**SG**: No. 65

---

4.
This record from Alexandria describes a geometry-optimized Pm6Nd2Y3Er structure. The functional is PBE-GGA.

POSCAR file:
```
Pm6Nd2Y3Er
1.0
-1.556 -4.554 4.043
3.665 -1.299 -4.938
8.862 4.407 6.748
Y Pm Nd Er
3 6 2 1
Direct
0.166 0.834 0.500
0.834 0.166 0.500
0.500 0.500 0.500
0.416 0.084 0.251
0.752 0.752 0.252
0.248 0.248 0.748
0.584 0.916 0.749
0.916 0.584 0.749
0.084 0.416 0.251
0.667 0.333 0.000
0.333 0.667 0.000
0.000 0.000 0.000
```

Summary:
**Theoretical density**: 6.55 g/cm3
**SG**: No. 12

---

5.
This record from Alexandria describes a geometry-optimized MgBeTc3 structure. The functional is PBE-GGA.

POSCAR file:
```
MgBeTc3
1.0
-3.050 1.126 -2.663
-2.744 0.092 3.181
0.911 4.048 0.668
Mg Tc Be
1 3 1
Direct
0.500 0.500 0.500
0.500 0.000 0.000
0.000 0.000 0.500
0.000 0.500 0.000
0.000 0.000 0.000
```

Summary:
**Theoretical density**: 7.32 g/cm3
**SG**: No. 221

---

6.
This record from Alexandria describes a geometry-optimized Li5Hg4Pd3 structure. The functional is PBE-GGA.

POSCAR file:
```
Li5Hg4Pd3
1.0
-2.738 -3.206 -2.417
0.710 -6.348 2.730
-7.291 1.421 1.488
Pd Li Hg
3 5 4
Direct
0.000 0.500 0.500
0.474 0.311 0.742
0.526 0.689 0.258
0.500 0.500 0.500
0.347 0.081 0.226
0.653 0.919 0.774
0.197 0.478 0.128
0.803 0.522 0.872
0.840 0.236 0.083
0.143 0.098 0.615
0.160 0.764 0.917
0.857 0.902 0.385
```

Summary:
**Theoretical density**: 9.01 g/cm3
**SG**: No. 12

---

7.
This record from Alexandria describes a geometry-optimized Pr4CoAsI2 structure. The functional is PBE-GGA.

POSCAR file:
```
Pr4CoAsI2
1.0
-0.715 4.063 -0.190
-7.581 -1.320 0.329
2.567 0.816 7.796
I Pr Co As
2 4 1 1
Direct
0.500 0.000 0.500
0.000 0.500 0.500
0.500 0.203 0.182
0.500 0.797 0.818
0.000 0.254 0.806
0.000 0.746 0.194
0.000 0.000 0.000
0.500 0.500 0.000
```

Summary:
**Theoretical density**: 6.28 g/cm3
**SG**: No. 10
**Formation energy from raw total energies**: -0.9100 eV per atom

---

8.
This record from Alexandria describes a geometry-optimized Al2Ag structure. The functional is PBE-GGA.

POSCAR file:
```
Al2Ag
1.0
4.173 0.000 0.000
0.000 4.173 0.000
0.000 0.000 3.371
Al Ag
2 1
Direct
0.000 0.500 0.500
0.500 0.000 0.500
0.000 0.000 0.000
```

Summary:
**Theoretical density**: 4.58 g/cm3
**SG**: No. 123

---

9.
This record from Alexandria describes a geometry-optimized Pr5DyTl3 structure. The functional is PBE-GGA.

POSCAR file:
```
Pr5DyTl3
1.0
-6.299 2.622 1.386
-2.270 -0.485 -9.396
-1.845 -7.509 5.818
Tl Dy Pr
6 2 10
Direct
0.250 0.323 0.000
0.750 0.677 0.000
0.250 0.677 0.677
0.250 0.000 0.323
0.750 0.323 0.323
0.750 0.000 0.677
0.000 0.000 0.000
0.500 0.000 0.000
0.250 0.340 0.339
0.500 0.667 0.334
0.000 0.333 0.666
0.750 0.000 0.339
0.750 0.339 0.000
0.750 0.660 0.661
0.500 0.333 0.666
0.250 0.661 0.000
0.250 0.000 0.661
0.000 0.667 0.334
```

Summary:
**Theoretical density**: 8.71 g/cm3
**SG**: No. 193

---

10.
This record from Alexandria describes a geometry-optimized PuAlZn2Au4 structure. The functional is PBE-GGA.

POSCAR file:
```
PuAlZn2Au4
1.0
4.493 0.000 0.000
2.247 3.891 0.000
2.247 1.297 8.672
Zn Pu Au Al
2 1 4 1
Direct
0.248 0.248 0.256
0.752 0.752 0.744
0.000 0.000 0.000
0.397 0.397 0.808
0.603 0.603 0.192
0.867 0.867 0.400
0.133 0.133 0.600
0.500 0.500 0.500
```

Summary:
**Theoretical density**: 13.03 g/cm3
**SG**: No. 166

---

11.
This record from Alexandria describes a geometry-optimized Mg3GeOs structure. The functional is PBE-GGA.

POSCAR file:
```
Mg3GeOs
1.0
-4.024 -0.684 -2.658
1.075 -4.733 -0.409
-2.525 -0.925 4.061
Os Ge Mg
1 1 3
Direct
0.500 0.500 0.500
0.000 0.000 0.000
0.000 0.500 0.000
0.500 0.000 0.000
0.000 0.000 0.500
```

Summary:
**Theoretical density**: 4.83 g/cm3
**ΔE to the lowest computed polymorph**: 1.65 eV per formula unit
**SG**: No. 221

---

12.
This record from Alexandria describes a geometry-optimized PmBrO4F2 structure. The functional is PBE-GGA.

POSCAR file:
```
PmBrO4F2
1.0
-2.505 0.437 6.612
-1.977 -6.800 -0.189
7.280 3.316 -2.964
O F Pm Br
8 4 2 2
Direct
0.742 0.342 0.542
0.158 0.758 0.958
0.842 0.242 0.042
0.247 0.253 0.079
0.753 0.747 0.579
0.258 0.658 0.458
0.247 0.253 0.421
0.753 0.747 0.921
0.500 0.500 0.000
0.000 0.000 0.500
0.500 0.000 0.500
0.500 0.000 0.000
0.000 0.500 0.000
0.000 0.500 0.500
0.000 0.000 0.000
0.500 0.500 0.500
```

Summary:
**Theoretical density**: 4.75 g/cm3
**SG**: No. 74
**Formation energy from raw total energies**: -0.7296 eV per atom

---

13.
This record from Alexandria describes a geometry-optimized AlCrCo2 structure. The functional is PBE-GGA.

POSCAR file:
```
AlCrCo2
1.0
2.623 0.000 0.000
0.000 2.623 0.000
0.000 0.000 6.578
Co Cr Al
2 1 1
Direct
0.000 0.000 0.004
0.000 0.000 0.496
0.500 0.500 0.250
0.500 0.500 0.750
```

Summary:
**Theoretical density**: 7.22 g/cm3
**SG**: No. 123

---

14.
This record from Alexandria describes a geometry-optimized Pa2CdSi3Pt4 structure. The functional is PBE-GGA.

POSCAR file:
```
Pa2CdSi3Pt4
1.0
-0.035 -0.892 4.030
0.920 -3.931 -0.862
10.506 2.327 0.607
Si Pt Pa Cd
3 4 2 1
Direct
0.000 0.500 0.123
0.000 0.000 0.500
0.500 0.000 0.877
0.500 0.000 0.661
0.500 0.500 0.000
0.000 0.500 0.339
0.000 0.000 0.000
0.000 0.500 0.759
0.500 0.000 0.241
0.500 0.500 0.500
```

Summary:
**Theoretical density**: 13.01 g/cm3
**SG**: No. 115
**Formation energy from raw total energies**: -0.7968 eV per atom

---

15.
This record from Alexandria describes a geometry-optimized PrSc2In2 structure. The functional is PBE-GGA.

POSCAR file:
```
PrSc2In2
1.0
4.639 -1.168 0.232
-0.720 4.729 0.232
-0.430 -0.391 6.629
Sc In Pr
2 2 1
Direct
0.828 0.172 0.500
0.172 0.828 0.500
0.500 0.500 0.727
0.500 0.500 0.273
0.000 0.000 0.000
```

Summary:
**Theoretical density**: 5.43 g/cm3
**ΔE to the lowest computed polymorph**: 0.79 eV per formula unit
**SG**: No. 65

---

| no. | energy (eV per atom) |
| --- | --- |
| 1 | -5.045 |
| 2 | -4.706 |
| 3 | -5.217 |
| 4 | -5.153 |
| 5 | -6.650 |
| 6 | -2.460 |
| 7 | -5.157 |
| 8 | -3.257 |
| 9 | -4.220 |
| 10 | -4.532 |
| 11 | -3.127 |
| 12 | -4.479 |
| 13 | -7.121 |
| 14 | -6.831 |
| 15 | -4.661 |